# VFe5Ge2Mo2 | the Alexandria database | PBE | relaxed
data_VFe5Ge2Mo2
_cell_length_a 8.855
_cell_length_b 8.855
_cell_length_c 3.344
_cell_angle_alpha 90.00
_cell_angle_beta 90.00
_cell_angle_gamma 90.00
_space_group_name_H-M_alt 'P 4/m b m'
_space_group_IT_number 127
_space_group_name_Hall '-P 4 2ab'
loop_
_atom_site_label
_atom_site_type_symbol
_atom_site_fract_x
_atom_site_fract_y
_atom_site_fract_z
V1 V 0.000 0.000 0.000
Fe1 Fe 0.000 0.500 0.500
Fe2 Fe 0.055 0.195 0.500
Ge1 Ge 0.129 0.371 0.000
Mo1 Mo 0.172 0.672 0.000
# Size of the total moment   14.0 Bohr magnetons per cell
# Energy of formation   89.3 meV/atom
# Volume   13.1 Å³ per atom
# E   -8.144 eV/atom

***

# FeGe2MoW | the Alexandria database | PBE | relaxed
data_FeGe2MoW
_cell_length_a 4.775
_cell_length_b 4.775
_cell_length_c 4.932
_cell_angle_alpha 90.00
_cell_angle_beta 90.00
_cell_angle_gamma 90.00
_space_group_name_H-M_alt 'P 4/m m m'
_space_group_IT_number 123
_space_group_name_Hall '-P 4 2'
loop_
_atom_site_label
_atom_site_type_symbol
_atom_site_fract_x
_atom_site_fract_y
_atom_site_fract_z
Fe1 Fe 0.000 0.000 0.000
Ge1 Ge 0.000 0.500 0.500
Mo1 Mo 0.500 0.500 0.000
W1 W 0.500 0.500 0.500
# Size of the total moment   3.6 Bohr magnetons per cell
# Energy of formation   1492.7 meV/atom
# Volume   22.5 Å³ per atom
# E   -6.804 eV/atom

***

# Fe2GeN | the Alexandria database | PBE | relaxed
data_Fe2GeN
_cell_length_a 4.919
_cell_length_b 4.919
_cell_length_c 8.496
_cell_angle_alpha 90.00
_cell_angle_beta 90.00
_cell_angle_gamma 90.00
_space_group_name_H-M_alt 'I -4 2 d'
_space_group_IT_number 122
_space_group_name_Hall 'I -4 2bw'
loop_
_atom_site_label
_atom_site_type_symbol
_atom_site_fract_x
_atom_site_fract_y
_atom_site_fract_z
Fe1 Fe 0.150 0.250 0.125
Ge1 Ge 0.000 0.000 0.500
N1 N 0.000 0.000 0.000
# Size of the total moment   3.0 Bohr magnetons per cell
# Volume   12.9 Å³ per atom
# E   -7.302 eV/atom
# E_form (uncorrected)   0.66 eV/f.u.

***

# FeGe2N | the Alexandria database | PBE | relaxed
data_FeGe2N
_cell_length_a 5.444
_cell_length_b 5.444
_cell_length_c 7.651
_cell_angle_alpha 90.00
_cell_angle_beta 90.00
_cell_angle_gamma 90.00
_space_group_name_H-M_alt 'I -4 2 d'
_space_group_IT_number 122
_space_group_name_Hall 'I -4 2bw'
loop_
_atom_site_label
_atom_site_type_symbol
_atom_site_fract_x
_atom_site_fract_y
_atom_site_fract_z
Fe1 Fe 0.000 0.000 0.000
Ge1 Ge 0.198 0.750 0.625
N1 N 0.000 0.000 0.500
# Size of the total moment   3.9 Bohr magnetons per cell
# Volume   14.2 Å³ per atom
# E   -6.095 eV/atom
# E_form (uncorrected)   1.64 eV/f.u.

***

# Fe2GeN | the Alexandria database | PBE | relaxed
data_Fe2GeN
_cell_length_a 4.0215
_cell_length_b 4.0215
_cell_length_c 13.1126
_cell_angle_alpha 90.00
_cell_angle_beta 90.00
_cell_angle_gamma 120.00
_space_group_name_H-M_alt 'R -3 m'
_space_group_IT_number 166
_space_group_name_Hall '-R 3 2"'
loop_
_atom_site_label
_atom_site_type_symbol
_atom_site_fract_x
_atom_site_fract_y
_atom_site_fract_z
Fe1 Fe 0.0000 0.0000 0.1256
Ge1 Ge 0.0000 0.0000 0.5000
N1 N 0.0000 0.0000 0.0000
# Size of the total moment   2.5 Bohr magnetons per cell
# Volume   15.3 Å³ per atom
# E   -7.171 eV/atom
# E_form (uncorrected)   1.18 eV/f.u.

***

# Fe3GeN | the Alexandria database | PBE | relaxed
data_Fe3GeN
_cell_length_a 4.347
_cell_length_b 4.347
_cell_length_c 4.347
_cell_angle_alpha 90.00
_cell_angle_beta 90.00
_cell_angle_gamma 90.00
_space_group_name_H-M_alt 'P m -3 m'
_space_group_IT_number 221
_space_group_name_Hall '-P 4 2 3'
loop_
_atom_site_label
_atom_site_type_symbol
_atom_site_fract_x
_atom_site_fract_y
_atom_site_fract_z
Fe1 Fe 0.000 0.000 0.500
Ge1 Ge 0.000 0.000 0.000
N1 N 0.500 0.500 0.500
# Relative energy among the computed polymorphs   2004 meV/atom
# Size of the total moment   7.0 Bohr magnetons per cell
# Volume   16.4 Å³ per atom
# E   -5.694 eV/atom
# E_form (uncorrected)   9.86 eV/f.u.

***

# Fe3Ge8N8 | the Alexandria database | PBE | relaxed
data_Fe3Ge8N8
_cell_length_a 20.569
_cell_length_b 3.026
_cell_length_c 7.986
_cell_angle_alpha 90.00
_cell_angle_beta 91.69
_cell_angle_gamma 90.00
_space_group_name_H-M_alt 'C 1 2/m 1'
_space_group_IT_number 12
loop_
_space_group_symop_operation_xyz
'x,y,z'
'-x,-y,-z'
'-x,y,-z'
'x,-y,z'
'x+1/2,y+1/2,z'
'-x+1/2,-y+1/2,-z'
'-x+1/2,y+1/2,-z'
'x+1/2,-y+1/2,z'
loop_
_atom_site_label
_atom_site_type_symbol
_atom_site_fract_x
_atom_site_fract_y
_atom_site_fract_z
Fe1 Fe 0.000 0.000 0.000
Fe2 Fe 0.181 0.500 0.779
Ge1 Ge 0.019 0.500 0.764
Ge2 Ge 0.096 0.000 0.475
Ge3 Ge 0.112 0.000 0.062
Ge4 Ge 0.218 0.500 0.244
N1 N 0.018 0.000 0.350
N2 N 0.103 0.500 0.617
N3 N 0.157 0.000 0.303
N4 N 0.169 0.500 0.019
# Size of the total moment   13.6 Bohr magnetons per cell
# Volume   13.1 Å³ per atom
# E   -6.564 eV/atom
# E_form (uncorrected)   4.21 eV/f.u.

***

# Fe2GeN | the Alexandria database | PBE | relaxed
data_Fe2GeN
_cell_length_a 5.512
_cell_length_b 5.512
_cell_length_c 5.512
_cell_angle_alpha 90.00
_cell_angle_beta 90.00
_cell_angle_gamma 90.00
_space_group_name_H-M_alt 'F m -3 m'
_space_group_IT_number 225
_space_group_name_Hall '-F 4 2 3'
loop_
_atom_site_label
_atom_site_type_symbol
_atom_site_fract_x
_atom_site_fract_y
_atom_site_fract_z
Fe1 Fe 0.250 0.250 0.250
Ge1 Ge 0.000 0.000 0.000
N1 N 0.000 0.000 0.500
# Size of the total moment   0.0 Bohr magnetons per cell
# Volume   10.5 Å³ per atom
# E   -6.594 eV/atom
# E_form (uncorrected)   3.49 eV/f.u.

***

# Fe3GeN | the Alexandria database | PBE | relaxed
data_Fe3GeN
_cell_length_a 3.732
_cell_length_b 3.732
_cell_length_c 3.732
_cell_angle_alpha 90.00
_cell_angle_beta 90.00
_cell_angle_gamma 90.00
_space_group_name_H-M_alt 'P m -3 m'
_space_group_IT_number 221
_space_group_name_Hall '-P 4 2 3'
loop_
_atom_site_label
_atom_site_type_symbol
_atom_site_fract_x
_atom_site_fract_y
_atom_site_fract_z
Fe1 Fe 0.000 0.000 0.500
Ge1 Ge 0.500 0.500 0.500
N1 N 0.000 0.000 0.000
# Relative energy among the computed polymorphs   0 meV/atom
# Size of the total moment   0.6 Bohr magnetons per cell
# Volume   10.4 Å³ per atom
# E   -7.698 eV/atom
# E_form (uncorrected)   -0.16 eV/f.u.

***

# Fe6Ge2N | the Alexandria database | PBE | relaxed
data_Fe6Ge2N
_cell_length_a 3.821
_cell_length_b 3.821
_cell_length_c 7.071
_cell_angle_alpha 90.00
_cell_angle_beta 90.00
_cell_angle_gamma 90.00
_space_group_name_H-M_alt 'P 4/m m m'
_space_group_IT_number 123
_space_group_name_Hall '-P 4 2'
loop_
_atom_site_label
_atom_site_type_symbol
_atom_site_fract_x
_atom_site_fract_y
_atom_site_fract_z
Fe1 Fe 0.000 0.000 0.229
Fe2 Fe 0.000 0.500 0.000
Fe3 Fe 0.000 0.500 0.500
Ge1 Ge 0.500 0.500 0.243
N1 N 0.000 0.000 0.500
# Size of the total moment   6.0 Bohr magnetons per cell
# Volume   11.5 Å³ per atom
# E   -7.656 eV/atom
# E_form (uncorrected)   -0.57 eV/f.u.

***

# NaFeGe2N | the Alexandria database | PBE | relaxed
data_NaFeGe2N
_cell_length_a 4.412
_cell_length_b 4.412
_cell_length_c 5.664
_cell_angle_alpha 90.00
_cell_angle_beta 90.00
_cell_angle_gamma 90.00
_space_group_name_H-M_alt 'P 4/m m m'
_space_group_IT_number 123
_space_group_name_Hall '-P 4 2'
loop_
_atom_site_label
_atom_site_type_symbol
_atom_site_fract_x
_atom_site_fract_y
_atom_site_fract_z
Na1 Na 0.000 0.000 0.000
Fe1 Fe 0.000 0.000 0.500
Ge1 Ge 0.000 0.500 0.500
N1 N 0.500 0.500 0.000
# Size of the total moment   3.0 Bohr magnetons per cell
# Volume   22.0 Å³ per atom
# E   -4.411 eV/atom
# E_form (uncorrected)   5.29 eV/f.u.

***

# NaFe2GeN | the Alexandria database | PBE | relaxed
data_NaFe2GeN
_cell_length_a 4.580
_cell_length_b 4.580
_cell_length_c 3.883
_cell_angle_alpha 90.00
_cell_angle_beta 90.00
_cell_angle_gamma 90.00
_space_group_name_H-M_alt 'P 4/m m m'
_space_group_IT_number 123
_space_group_name_Hall '-P 4 2'
loop_
_atom_site_label
_atom_site_type_symbol
_atom_site_fract_x
_atom_site_fract_y
_atom_site_fract_z
Na1 Na 0.000 0.000 0.000
Fe1 Fe 0.000 0.500 0.000
Ge1 Ge 0.500 0.500 0.500
N1 N 0.000 0.000 0.500
# Size of the total moment   6.0 Bohr magnetons per cell
# Volume   16.3 Å³ per atom
# E   -4.243 eV/atom
# E_form (uncorrected)   9.97 eV/f.u.

***

# NbFe2GeN | the Alexandria database | PBE | relaxed
data_NbFe2GeN
_cell_length_a 3.851
_cell_length_b 3.851
_cell_length_c 4.238
_cell_angle_alpha 90.00
_cell_angle_beta 90.00
_cell_angle_gamma 90.00
_space_group_name_H-M_alt 'P 4/m m m'
_space_group_IT_number 123
_space_group_name_Hall '-P 4 2'
loop_
_atom_site_label
_atom_site_type_symbol
_atom_site_fract_x
_atom_site_fract_y
_atom_site_fract_z
Nb1 Nb 0.000 0.000 0.000
Fe1 Fe 0.000 0.500 0.500
Ge1 Ge 0.500 0.500 0.000
N1 N 0.000 0.000 0.500
# Size of the total moment   3.9 Bohr magnetons per cell
# Volume   12.6 Å³ per atom
# E   -8.279 eV/atom
# E_form (uncorrected)   -1.46 eV/f.u.

***

# NbFeGeN2 | the Alexandria database | PBE | relaxed
data_NbFeGeN2
_cell_length_a 3.580
_cell_length_b 3.580
_cell_length_c 5.507
_cell_angle_alpha 90.00
_cell_angle_beta 90.00
_cell_angle_gamma 90.00
_space_group_name_H-M_alt 'P 4/m m m'
_space_group_IT_number 123
_space_group_name_Hall '-P 4 2'
loop_
_atom_site_label
_atom_site_type_symbol
_atom_site_fract_x
_atom_site_fract_y
_atom_site_fract_z
Nb1 Nb 0.000 0.000 0.000
Fe1 Fe 0.000 0.000 0.500
Ge1 Ge 0.500 0.500 0.000
N1 N 0.000 0.500 0.500
# Size of the total moment   0.0 Bohr magnetons per cell
# Volume   14.1 Å³ per atom
# E   -7.161 eV/atom
# E_form (uncorrected)   4.00 eV/f.u.

***

# Nd2Fe2Ge2N | the Alexandria database | PBE | relaxed
data_Nd2Fe2Ge2N
_cell_length_a 10.912
_cell_length_b 3.972
_cell_length_c 7.023
_cell_angle_alpha 90.00
_cell_angle_beta 127.36
_cell_angle_gamma 90.00
_space_group_name_H-M_alt 'C 1 2/m 1'
_space_group_IT_number 12
loop_
_space_group_symop_operation_xyz
'x,y,z'
'-x,-y,-z'
'-x,y,-z'
'x,-y,z'
'x+1/2,y+1/2,z'
'-x+1/2,-y+1/2,-z'
'-x+1/2,y+1/2,-z'
'x+1/2,-y+1/2,z'
loop_
_atom_site_label
_atom_site_type_symbol
_atom_site_fract_x
_atom_site_fract_y
_atom_site_fract_z
Nd1 Nd 0.057 0.000 0.291
Fe1 Fe 0.187 0.500 0.075
Ge1 Ge 0.171 0.500 0.719
N1 N 0.000 0.500 0.000
# Size of the total moment   0.0 Bohr magnetons per cell
# Volume   17.3 Å³ per atom
# E   -7.023 eV/atom
# E_form (uncorrected)   -5.14 eV/f.u.